[1]
The following is a DFT calculation (SCAN) of Ta2NbRu at its PBEsol-relaxed geometry.

Energy of formation: -31.4 kJ/mol of atoms
SG: No. 225
Electronic total energy: -202.42 eV/f.u.
Fermi-level density of states: 2.51 states/eV per cell

The structure in POSCAR format:
```
Ta2NbRu
1.0
4.516 0.000 0.000
2.258 3.911 0.000
2.258 1.304 3.687
Ru Ta Nb
1 2 1
Direct
0.000 0.000 0.000 Ru
0.750 0.750 0.750 Ta
0.250 0.250 0.250 Ta
0.500 0.500 0.500 Nb
```

***

[2]
The following is a DFT calculation (SCAN) of TaNb3Ru at its PBEsol-relaxed geometry.

Energy of formation: 174.9 kJ/mol of atoms
SG: No. 221
Electronic total energy: -191.73 eV/f.u.
Fermi-level density of states: 8.31 states/eV per cell

The structure in POSCAR format:
```
TaNb3Ru
1.0
-2.935 2.648 2.623
2.292 -1.350 3.928
2.939 3.697 -0.444
Nb Ru Ta
3 1 1
Direct
0.000 0.000 0.500 Nb
0.500 0.000 0.000 Nb
0.000 0.500 0.000 Nb
0.500 0.500 0.500 Ru
0.000 0.000 0.000 Ta
```

***

[3]
The following is a DFT calculation (SCAN) of TaNb2TcRu at its PBEsol-relaxed geometry.

Energy of formation: 165.5 kJ/mol of atoms
SG: No. 123
Electronic total energy: -194.15 eV/f.u.
Fermi-level density of states: 5.18 states/eV per cell

The structure in POSCAR format:
```
TaNb2TcRu
1.0
4.504 0.000 0.000
0.000 4.772 0.000
0.000 0.000 4.772
Nb Tc Ta Ru
2 1 1 1
Direct
0.000 0.500 0.000 Nb
0.000 0.000 0.500 Nb
0.500 0.500 0.500 Tc
0.000 0.000 0.000 Ta
0.500 0.000 0.000 Ru
```

***

[4]
The following is a DFT calculation (SCAN) of TbNbRu2 at its PBEsol-relaxed geometry.

Energy of formation: -35.0 kJ/mol of atoms
SG: No. 225
Electronic total energy: -151.00 eV/f.u.
Fermi-level density of states: 0.70 states/eV per cell

The structure in POSCAR format:
```
TbNbRu2
1.0
4.579 0.000 0.000
2.290 3.966 0.000
2.290 1.322 3.739
Ru Tb Nb
2 1 1
Direct
0.250 0.250 0.250 Ru
0.750 0.750 0.750 Ru
0.500 0.500 0.500 Tb
0.000 0.000 0.000 Nb
```